1.
# ThHgGe GGA-PBE relaxed
data_ThHgGe
_chemical_formula_sum 'Th2 Hg2 Ge2'
_space_group_name_H-M_alt 'P 1'
_space_group_IT_number 1
_cell_length_a 4.324
_cell_length_b 4.324
_cell_length_c 8.318
_cell_angle_alpha 90.00
_cell_angle_beta 90.00
_cell_angle_gamma 90.00
loop_
_space_group_symop_operation_xyz
'x,y,z'
loop_
_atom_site_label
_atom_site_fract_x
_atom_site_fract_y
_atom_site_fract_z
Th1 0.250 0.250 0.174
Th2 0.750 0.750 0.826
Hg1 0.250 0.750 0.500
Hg2 0.750 0.250 0.500
Ge1 0.250 0.250 0.815
Ge2 0.750 0.750 0.185
# Energy of formation in eV per atom: -0.419
# Space-group type: P4/nmm



2.
# LaCePa GGA-PBE relaxed
data_LaCePa
_chemical_formula_sum 'La1 Ce1 Pa1'
_space_group_name_H-M_alt 'P 1'
_space_group_IT_number 1
_cell_length_a 5.535
_cell_length_b 5.535
_cell_length_c 3.189
_cell_angle_alpha 90.00
_cell_angle_beta 90.00
_cell_angle_gamma 120.00
loop_
_space_group_symop_operation_xyz
'x,y,z'
loop_
_atom_site_label
_atom_site_fract_x
_atom_site_fract_y
_atom_site_fract_z
La1 0.000 0.000 0.000
Ce1 0.333 0.667 0.500
Pa1 0.667 0.333 0.000
# Energy of formation in eV per atom: 0.316
# Space-group type: P-6m2
# Energy above the lowest structure with this stoichiometry in eV/atom: 0.1788



3.
# MnNb2Co GGA-PBE relaxed
data_MnNb2Co
_chemical_formula_sum 'Mn1 Nb2 Co1'
_space_group_name_H-M_alt 'P 1'
_space_group_IT_number 1
_cell_length_a 4.355
_cell_length_b 4.355
_cell_length_c 3.076
_cell_angle_alpha 90.00
_cell_angle_beta 90.00
_cell_angle_gamma 90.00
loop_
_space_group_symop_operation_xyz
'x,y,z'
loop_
_atom_site_label
_atom_site_fract_x
_atom_site_fract_y
_atom_site_fract_z
Mn1 0.000 0.000 0.000
Nb1 0.000 0.500 0.500
Nb2 0.500 0.000 0.500
Co1 0.500 0.500 0.000
# Energy of formation in eV per atom: -0.067
# Space-group type: P4/mmm



4.
# VFeSi GGA-PBE relaxed
data_VFeSi
_chemical_formula_sum 'V2 Fe2 Si2'
_space_group_name_H-M_alt 'P 1'
_space_group_IT_number 1
_cell_length_a 4.770
_cell_length_b 4.770
_cell_length_c 4.907
_cell_angle_alpha 118.12
_cell_angle_beta 118.12
_cell_angle_gamma 47.51
loop_
_space_group_symop_operation_xyz
'x,y,z'
loop_
_atom_site_label
_atom_site_fract_x
_atom_site_fract_y
_atom_site_fract_z
V1 0.000 0.000 0.000
V2 0.653 0.653 0.826
Fe1 0.336 0.336 0.658
Fe2 0.987 0.987 0.471
Si1 0.343 0.343 0.164
Si2 0.695 0.695 0.367
# Raw formation energy in eV per atom: -0.3449
# Space-group type: Cm



5.
# PrHo7Sc4 GGA-PBE relaxed
data_PrHo7Sc4
_chemical_formula_sum 'Pr1 Ho7 Sc4'
_space_group_name_H-M_alt 'P 1'
_space_group_IT_number 1
_cell_length_a 6.029
_cell_length_b 6.965
_cell_length_c 8.558
_cell_angle_alpha 89.96
_cell_angle_beta 76.25
_cell_angle_gamma 89.99
loop_
_space_group_symop_operation_xyz
'x,y,z'
loop_
_atom_site_label
_atom_site_fract_x
_atom_site_fract_y
_atom_site_fract_z
Pr1 0.000 0.000 0.000
Ho1 0.000 0.500 0.000
Ho2 0.225 0.000 0.338
Ho3 0.284 0.742 0.660
Ho4 0.498 0.255 0.995
Ho5 0.502 0.745 0.005
Ho6 0.716 0.258 0.340
Ho7 0.775 0.000 0.662
Sc1 0.216 0.500 0.340
Sc2 0.275 0.256 0.662
Sc3 0.725 0.744 0.338
Sc4 0.784 0.500 0.660
# Energy of formation in eV per atom: 0.022
# Space-group type: P-1
# Energy above the lowest structure with this stoichiometry in eV/atom: 0.0000



6.
# CePaP2Ir5 GGA-PBE relaxed
data_CePaP2Ir5
_chemical_formula_sum 'Ce1 Pa1 P2 Ir5'
_space_group_name_H-M_alt 'P 1'
_space_group_IT_number 1
_cell_length_a 4.057
_cell_length_b 4.057
_cell_length_c 10.827
_cell_angle_alpha 90.00
_cell_angle_beta 90.00
_cell_angle_gamma 90.00
loop_
_space_group_symop_operation_xyz
'x,y,z'
loop_
_atom_site_label
_atom_site_fract_x
_atom_site_fract_y
_atom_site_fract_z
Ce1 0.000 0.000 0.000
Pa1 0.000 0.000 0.500
P1 0.500 0.500 0.212
P2 0.500 0.500 0.788
Ir1 0.000 0.500 0.313
Ir2 0.000 0.500 0.687
Ir3 0.500 0.000 0.313
Ir4 0.500 0.000 0.687
Ir5 0.500 0.500 0.000
# Energy of formation in eV per atom: -0.763
# Space-group type: P4/mmm



7.
# CdWSe2 GGA-PBE relaxed
data_CdWSe2
_chemical_formula_sum 'Cd1 W1 Se2'
_space_group_name_H-M_alt 'P 1'
_space_group_IT_number 1
_cell_length_a 3.409
_cell_length_b 3.409
_cell_length_c 6.779
_cell_angle_alpha 90.00
_cell_angle_beta 90.00
_cell_angle_gamma 90.00
loop_
_space_group_symop_operation_xyz
'x,y,z'
loop_
_atom_site_label
_atom_site_fract_x
_atom_site_fract_y
_atom_site_fract_z
Cd1 0.000 0.000 0.000
W1 0.500 0.500 0.705
Se1 0.000 0.000 0.553
Se2 0.500 0.500 0.301
# Raw formation energy in eV per atom: 0.3639
# Space-group type: P4mm



8.
# MgAuF2 GGA-PBE relaxed
data_MgAuF2
_chemical_formula_sum 'Mg1 Au1 F2'
_space_group_name_H-M_alt 'P 1'
_space_group_IT_number 1
_cell_length_a 4.297
_cell_length_b 4.297
_cell_length_c 4.297
_cell_angle_alpha 60.00
_cell_angle_beta 60.00
_cell_angle_gamma 60.00
loop_
_space_group_symop_operation_xyz
'x,y,z'
loop_
_atom_site_label
_atom_site_fract_x
_atom_site_fract_y
_atom_site_fract_z
Mg1 0.000 0.000 0.000
Au1 0.500 0.500 0.500
F1 0.250 0.250 0.250
F2 0.750 0.750 0.750
# Raw formation energy in eV per atom: -1.3117
# Space-group type: Fm-3m
# Energy above the lowest structure with this stoichiometry in eV/atom: 1.1155



Here are the calculated E numbers, same order: -27.2 -19.4 -36.7 -48.1 -61.9 -77.4 -19.4 -13.9 (eV for the cell shown).
Here are the calculated mass density numbers, same order: 10789 10012 8532 6345 7018 12991 9574 7672 (kg/m³).
Here are the calculated M_tot numbers, same order: 0.00 0.02 0.42 0.00 0.00 0.10 0.00 0.00 (μB/atom).